A plane-wave DFT calculation with PBE with a Hubbard U was carried out for a relaxed CsTl4V3F12 crystal.

Cell lengths 7.8344, 7.8344, 7.8344 Å; angles 109.47, 109.47, 109.47 degrees
Fractional coordinates of all 20 atoms:
Cs1 0.0000 0.0000 0.0000
Tl1 0.0000 0.0000 0.5000
Tl2 0.0000 0.5000 0.0000
Tl3 0.5000 0.0000 0.0000
Tl4 0.5000 0.5000 0.5000
V1 0.0000 0.5000 0.5000
V2 0.5000 0.0000 0.5000
V3 0.5000 0.5000 0.0000
F1 0.0000 0.2865 0.2865
F2 0.0000 0.7135 0.7135
F3 0.2500 0.5000 0.7500
F4 0.2500 0.7500 0.5000
F5 0.2865 0.0000 0.2865
F6 0.2865 0.2865 0.0000
F7 0.5000 0.2500 0.7500
F8 0.5000 0.7500 0.2500
F9 0.7135 0.0000 0.7135
F10 0.7135 0.7135 0.0000
F11 0.7500 0.2500 0.5000
F12 0.7500 0.5000 0.2500

Output
space-group type	No. 229
crystal system	cubic
energy	-5.0054	eV per atom
volume	370	Å³ per cell